# 1
## Li3Mn3O4F4 (PBE+U)

Data for a relaxed structure of Li3Mn3O4F4.

POSCAR file:
```
Li3Mn3O4F4
1.0
-3.356 4.638 -0.990
-2.608 -5.407 0.555
-3.163 -1.215 5.025
O Li F Mn
4 3 4 3
Cartesian
-7.389 -0.860 3.970 O
-6.155 -0.448 1.717 O
-5.905 -3.384 4.160 O
-4.671 -2.972 1.908 O
-4.726 0.788 2.661 Li
-5.860 -0.650 -0.229 Li
-3.037 -1.967 1.081 Li
-3.177 -0.080 1.584 F
-4.654 -0.586 4.216 F
-4.798 2.162 1.105 F
-6.275 1.655 3.738 F
-6.030 -1.916 2.939 Mn
-3.145 1.395 0.148 Mn
-4.352 -4.235 3.434 Mn
```

Properties
Its space group is C2/m. The final energy comes out at -0.45412 Ry per atom.



# 2
## LiMnOF2 (PBE+U)

Data for a relaxed structure of LiMnOF2.

POSCAR file:
```
LiMnOF2
1.0
3.690 0.000 0.000
0.000 6.674 0.000
0.000 0.000 10.339
Li Mn O F
4 4 4 8
Cartesian
0.922 6.278 3.182 Li
2.767 0.396 7.157 Li
0.922 2.941 1.987 Li
2.767 3.733 8.352 Li
0.922 5.556 10.252 Mn
0.922 2.219 5.256 Mn
2.767 1.117 0.087 Mn
2.767 4.454 5.083 Mn
2.767 2.597 5.674 O
2.767 5.934 9.835 O
0.922 4.077 4.665 O
0.922 0.740 0.504 O
0.922 0.624 6.301 F
2.767 1.799 8.506 F
0.922 1.537 3.336 F
2.767 5.136 7.003 F
0.922 3.961 9.208 F
2.767 2.713 1.131 F
0.922 4.874 1.833 F
2.767 6.050 4.038 F
```

Properties
Its space group is Pnma. The final energy comes out at -0.43668 Ry per atom.



# 3
## LiMnOF2 (PBE+U)

Data for a relaxed structure of LiMnOF2.

POSCAR file:
```
LiMnOF2
1.0
-1.980 3.356 1.198
-2.855 -0.674 -2.830
-1.954 -2.030 2.455
F Mn O Li
2 1 1 1
Cartesian
-1.428 -0.337 -1.415 F
-0.990 1.678 0.599 F
0.000 0.000 0.000 Mn
-0.977 -1.015 1.227 O
-3.395 0.326 0.411 Li
```

Properties
Its space group is P4/mmm. The final energy comes out at -0.41700 Ry per atom.



# 4
## Li2Mn3OF6 (PBE+U)

Data for a relaxed structure of Li2Mn3OF6.

POSCAR file:
```
Li2Mn3OF6
1.0
5.167 0.017 0.014
0.025 10.785 0.062
-2.305 -5.270 10.556
Mn F Li O
12 24 8 4
Cartesian
0.494 3.007 5.555 Mn
-0.225 7.911 2.348 Mn
2.833 5.313 6.946 Mn
2.808 5.658 3.561 Mn
2.772 2.519 8.405 Mn
2.570 -2.352 5.227 Mn
2.752 2.546 2.169 Mn
0.084 0.242 3.678 Mn
0.339 0.025 10.238 Mn
0.274 -0.054 6.718 Mn
2.867 5.459 10.492 Mn
0.341 -2.869 8.224 Mn
1.490 0.922 2.150 F
-1.146 1.668 6.823 F
-1.046 -3.752 9.711 F
1.573 0.771 8.554 F
1.490 3.820 0.847 F
1.193 9.193 0.928 F
4.144 1.564 0.893 F
3.828 4.316 2.199 F
-1.226 4.415 8.657 F
-0.796 -0.937 8.458 F
1.610 6.200 8.610 F
1.120 6.269 2.385 F
4.106 -0.860 2.174 F
1.614 -1.614 9.721 F
1.533 3.760 3.628 F
1.543 3.834 9.988 F
-0.987 1.619 9.783 F
-0.949 4.662 5.294 F
-1.023 6.996 6.888 F
3.578 6.793 0.945 F
3.831 1.884 3.797 F
1.659 6.283 5.383 F
1.270 -1.633 3.567 F
3.809 -0.578 5.186 F
2.518 -0.892 8.182 Li
2.441 8.076 0.137 Li
-2.154 -2.512 10.569 Li
-0.180 6.510 5.251 Li
0.616 4.545 8.487 Li
2.273 -0.787 2.168 Li
2.929 1.135 5.326 Li
0.459 4.550 2.261 Li
3.842 7.343 3.983 O
1.621 3.685 7.113 O
1.071 1.066 5.264 O
1.423 -1.734 6.833 O
```

Properties
Its space group is P1. The final energy comes out at -0.43835 Ry per atom.



# 5
## Li3Mn2OF5 (PBE+U)

Data for a relaxed structure of Li3Mn2OF5.

POSCAR file:
```
Li3Mn2OF5
1.0
10.113 0.025 -0.020
8.315 4.959 -0.001
1.798 -1.095 4.811
F Li O Mn
10 6 2 4
Cartesian
6.417 2.485 1.955 F
11.021 0.422 3.605 F
11.952 4.519 0.360 F
8.876 0.399 1.731 F
13.810 1.393 2.823 F
8.709 2.523 3.827 F
8.274 -0.620 4.444 F
9.205 3.466 1.186 F
11.518 3.208 3.283 F
11.350 1.645 0.741 F
12.154 1.814 4.469 Li
10.113 1.944 2.395 Li
15.530 3.924 0.822 Li
5.057 0.972 1.198 Li
18.186 4.019 2.717 Li
4.697 -0.036 3.969 Li
14.284 4.402 2.413 O
16.056 1.431 4.774 O
12.944 2.979 1.573 Mn
15.170 2.916 3.593 Mn
0.000 0.000 0.000 Mn
7.283 0.909 3.218 Mn
```

Properties
Its space group is F222. The final energy comes out at -0.41088 Ry per atom.



# 6
## LiMn2O2F3 (PBE+U)

Data for a relaxed structure of LiMn2O2F3.

POSCAR file:
```
LiMn2O2F3
1.0
-4.033 -2.192 -2.723
-4.061 -3.254 1.187
-5.717 7.884 2.100
F Mn Li O
6 4 2 4
Cartesian
-3.003 -0.938 -0.276 F
-6.199 4.528 1.186 F
-7.611 -2.089 -0.621 F
-1.051 0.697 0.182 F
-10.807 3.377 0.840 F
-12.759 1.742 0.382 F
-4.361 3.633 0.956 Mn
-9.449 -1.194 -0.391 Mn
-10.881 1.458 0.319 Mn
-2.929 0.981 0.246 Mn
-7.289 -4.235 -1.202 Li
-6.522 6.674 1.766 Li
-2.621 2.780 0.736 O
-4.895 1.660 0.416 O
-11.190 -0.341 -0.172 O
-8.915 0.779 0.148 O
```

Properties
Its space group is C2/m. The final energy comes out at -0.45853 Ry per atom.



Number 1: spin magnetization 12.0 μB per cell. Number 2: spin magnetization 16.0 μB per cell. Number 3: spin magnetization 4.0 μB per cell. Number 4: spin magnetization 52.0 μB per cell. Number 5: spin magnetization 14.0 μB per cell. Number 6: spin magnetization 16.0 μB per cell.